Entry from Alexandria via LeMat-Bulk: TbMgTe2 after structural relaxation (PBE).

## Properties
- Formation energy from raw total energies: -1.03 eV per atom
- DOS(E_F): 0.5553 states/eV/atom
- Space group: R-3m
- Energy relative to the lowest polymorph listed for this composition: 18 meV/atom
- Mass density: 6.41 g cm⁻³

Structure (POSCAR):
```
TbMgTe2
1.0
4.183 0.000 0.000
-2.092 3.623 0.000
0.000 0.000 22.484
Tb Mg Te
3 3 6
direct
0.000 0.000 0.000
0.333 0.667 0.667
0.667 0.333 0.333
0.000 0.000 0.500
0.333 0.667 0.167
0.667 0.333 0.833
0.000 0.000 0.245
0.000 0.000 0.755
0.333 0.667 0.421
0.333 0.667 0.912
0.667 0.333 0.088
0.667 0.333 0.579
```

=====

Entry from Alexandria via LeMat-Bulk: PrNdHoIn after structural relaxation (PBE).

## Properties
- Calculated formation energy: -0.6 eV/f.u.
- DOS(E_F): 1.8611 states/eV/atom
- Space group: F-43m
- Energy relative to the lowest polymorph listed for this composition: 0 meV/atom
- Mass density: 7.66 g cm⁻³

Structure (POSCAR):
```
PrNdHoIn
1.0
7.883 0.000 0.000
0.000 7.883 0.000
0.000 0.000 7.883
Pr Nd Ho In
4 4 4 4
direct
0.000 0.000 0.000
0.000 0.500 0.500
0.500 0.000 0.500
0.500 0.500 0.000
0.000 0.000 0.500
0.000 0.500 0.000
0.500 0.000 0.000
0.500 0.500 0.500
0.250 0.250 0.750
0.250 0.750 0.250
0.750 0.250 0.250
0.750 0.750 0.750
0.250 0.250 0.250
0.250 0.750 0.750
0.750 0.250 0.750
0.750 0.750 0.250
```